Entry from the Alexandria database: crystalline LaZnAsO at its relaxed geometry (PBE-GGA).

Cell lengths 4.113, 4.113, 9.144 Å; angles 90.00, 90.00, 90.00 degrees
Positions (direct):
La 0.750 0.750 0.867
La 0.250 0.250 0.133
As 0.750 0.750 0.328
As 0.250 0.250 0.672
Zn 0.750 0.250 0.500
Zn 0.250 0.750 0.500
O 0.750 0.250 0.000
O 0.250 0.750 0.000

Summary:
**Final energy**: -0.21468 Ha/atom
**ρ**: 6.3 g/cm3
**Spin magnetization**: 0.0 μB per formula unit
**V**: 19.3 Å³/atom
**Space group**: P4/nmm
**Raw formation energy**: -1.89 eV/atom